Entry 1:
MgCuSnO4, optimized geometry, DFT PBE; raw total energy = -81.34 eV for the cell shown; raw formation energy = -36.72 kcal/mol of atoms; DOS at the Fermi energy = 0.16 states/eV per cell
1.0
-2.965 3.091 4.634
2.965 -3.091 4.634
2.965 3.091 -4.634
Mg Cu Sn O
2 2 2 8
Direct
0.401 0.151 0.250
0.599 0.849 0.750
0.000 0.000 0.500
0.000 0.500 0.000
0.000 0.500 0.500
0.500 0.500 0.000
0.198 0.728 0.471
0.243 0.272 0.971
0.269 0.283 0.515
0.269 0.754 0.985
0.731 0.246 0.015
0.731 0.717 0.485
0.757 0.728 0.029
0.802 0.272 0.529

=====

Entry 2:
TmSc5Ag4, optimized geometry, DFT PBE; raw total energy = -49.54 eV for the cell shown; DOS at the Fermi energy = 10.37 states/eV per cell
1.0
3.415 0.000 0.000
0.000 3.415 0.000
0.000 0.000 18.595
Tm Sc Ag
1 5 4
Direct
0.000 0.000 0.000
0.500 0.500 0.126
0.500 0.500 0.313
0.500 0.500 0.500
0.500 0.500 0.687
0.500 0.500 0.874
0.000 0.000 0.219
0.000 0.000 0.407
0.000 0.000 0.593
0.000 0.000 0.781

=====

Entry 3:
KPt2Se, optimized geometry, DFT PBE; raw total energy = -46.63 eV for the cell shown; raw formation energy = 6.46 kcal/mol of atoms; DOS at the Fermi energy = 7.95 states/eV per cell
1.0
3.003 0.000 0.000
-1.501 2.601 0.000
0.000 0.000 29.538
K Pt Se
3 6 3
Direct
0.000 0.000 0.000
0.333 0.667 0.667
0.667 0.333 0.333
0.000 0.000 0.239
0.000 0.000 0.761
0.333 0.667 0.428
0.333 0.667 0.906
0.667 0.333 0.094
0.667 0.333 0.572
0.000 0.000 0.500
0.333 0.667 0.167
0.667 0.333 0.833

=====

Entry 4:
ScNbTe2N, optimized geometry, DFT PBE; raw total energy = -28.87 eV for the cell shown; raw formation energy = 9.86 kcal/mol of atoms; DOS at the Fermi energy = 6.43 states/eV per cell
1.0
5.612 0.000 0.000
0.000 5.612 0.000
0.000 0.000 3.850
Sc Nb Te N
1 1 2 1
Direct
0.000 0.000 0.000
0.500 0.500 0.500
0.000 0.500 0.000
0.500 0.000 0.000
0.000 0.000 0.500